The following is a DFT calculation (GGA+U) of a geometry-optimized UCoSnO6 structure.

abc: 5.441 5.441 9.036
angles: 90.00 90.00 120.00
Positions (direct):
U1 0.333 0.667 0.250
U2 0.667 0.333 0.750
Co1 0.000 0.000 0.000
Co2 0.000 0.000 0.500
Sn1 0.333 0.667 0.750
Sn2 0.667 0.333 0.250
O1 0.000 0.337 0.129
O2 0.000 0.337 0.629
O3 0.000 0.663 0.371
O4 0.000 0.663 0.871
O5 0.337 0.000 0.129
O6 0.337 0.000 0.629
O7 0.337 0.337 0.371
O8 0.337 0.337 0.871
O9 0.663 0.000 0.371
O10 0.663 0.000 0.871
O11 0.663 0.663 0.129
O12 0.663 0.663 0.629

Properties
DOS(E_F) ... 0.6619 states/eV/atom
DFT total energy ... -7.468 eV per atom
SG ... P-31c (163)